The following is a GGA-PBE calculation of a relaxed structure of PaTi2Pt, from the Alexandria database.

Summary:
formation enthalpy at 0 K = -1.251 eV/f.u.
total DFT energy (no corrections) = -130.312 eV/cell
magnetization = 0.5 μB/f.u.
calculated density = 12.34 g cm⁻³
offset from the most stable computed form = 0.056 eV/atom

CIF file:
```
data_PaTi2Pt
_chemical_formula_sum 'Pa4 Ti8 Pt4'
_space_group_name_H-M_alt 'F m -3 m'
_space_group_IT_number 225
_space_group_name_Hall '-F 4 2 3'
_cell_length_a 6.550
_cell_length_b 6.550
_cell_length_c 6.550
_cell_angle_alpha 90.00
_cell_angle_beta 90.00
_cell_angle_gamma 90.00
loop_
_atom_site_label
_atom_site_type_symbol
_atom_site_fract_x
_atom_site_fract_y
_atom_site_fract_z
_atom_site_occupancy
Pa1 Pa 0.000 0.000 0.000 1
Ti1 Ti 0.250 0.250 0.250 1
Pt1 Pt 0.000 0.000 0.500 1
```